# Si2P2I | Alexandria via LeMat-Bulk | meta-GGA SCAN | PBEsol geometry
data_Si2P2I
_chemical_formula_sum 'Si4 P4 I2'
_cell_length_a 8.716
_cell_length_b 8.716
_cell_length_c 3.107
_cell_angle_alpha 90.00
_cell_angle_beta 90.00
_cell_angle_gamma 90.00
_symmetry_space_group_name_H-M 'P 4/m b m'
_symmetry_Int_Tables_number 127
_symmetry_space_group_name_Hall '-P 4 2ab'
loop_
_atom_site_label
_atom_site_fract_x
_atom_site_fract_y
_atom_site_fract_z
Si1 0.123 0.377 0.000
P1 0.095 0.595 0.500
I1 0.000 0.000 0.500
# - Energy relative to the elements, uncorrected: 2.91 eV per formula unit
# - D(E_F): 1.0 states/eV/f.u.



# SiP2I | Alexandria via LeMat-Bulk | meta-GGA SCAN | PBEsol geometry
data_SiP2I
_chemical_formula_sum 'Si4 P8 I4'
_cell_length_a 6.639
_cell_length_b 6.639
_cell_length_c 8.085
_cell_angle_alpha 90.00
_cell_angle_beta 90.00
_cell_angle_gamma 90.00
_symmetry_space_group_name_H-M 'I -4 2 d'
_symmetry_Int_Tables_number 122
_symmetry_space_group_name_Hall 'I -4 2bw'
loop_
_atom_site_label
_atom_site_fract_x
_atom_site_fract_y
_atom_site_fract_z
Si1 0.000 0.000 0.000
P1 0.173 0.250 0.125
I1 0.000 0.000 0.500
# - Energy relative to the elements, uncorrected: 2.00 eV per formula unit
# - D(E_F): 2.7 states/eV/f.u.



# SiTePI2 | Alexandria via LeMat-Bulk | meta-GGA SCAN | PBEsol geometry
data_SiTePI2
_chemical_formula_sum 'Si1 Te1 P1 I2'
_cell_length_a 5.299
_cell_length_b 5.299
_cell_length_c 5.245
_cell_angle_alpha 90.00
_cell_angle_beta 90.00
_cell_angle_gamma 90.00
_symmetry_space_group_name_H-M 'P 4/m m m'
_symmetry_Int_Tables_number 123
_symmetry_space_group_name_Hall '-P 4 2'
loop_
_atom_site_label
_atom_site_fract_x
_atom_site_fract_y
_atom_site_fract_z
Si1 0.000 0.000 0.000
Te1 0.500 0.500 0.000
P1 0.500 0.500 0.500
I1 0.000 0.500 0.500
# - Energy relative to the elements, uncorrected: 4.13 eV per formula unit
# - D(E_F): 2.9 states/eV/f.u.



# SnP3I | Alexandria via LeMat-Bulk | meta-GGA SCAN | PBEsol geometry
data_SnP3I
_chemical_formula_sum 'Sn1 P3 I1'
_cell_length_a 5.021
_cell_length_b 5.021
_cell_length_c 5.021
_cell_angle_alpha 90.00
_cell_angle_beta 90.00
_cell_angle_gamma 90.00
_symmetry_space_group_name_H-M 'P m -3 m'
_symmetry_Int_Tables_number 221
_symmetry_space_group_name_Hall '-P 4 2 3'
loop_
_atom_site_label
_atom_site_fract_x
_atom_site_fract_y
_atom_site_fract_z
Sn1 0.000 0.000 0.000
P1 0.000 0.000 0.500
I1 0.500 0.500 0.500
# - Energy relative to the elements, uncorrected: 6.50 eV per formula unit
# - D(E_F): 5.0 states/eV/f.u.



# SnTePI2 | Alexandria via LeMat-Bulk | meta-GGA SCAN | PBEsol geometry
data_SnTePI2
_chemical_formula_sum 'Sn1 Te1 P1 I2'
_cell_length_a 5.355
_cell_length_b 5.355
_cell_length_c 5.312
_cell_angle_alpha 90.00
_cell_angle_beta 90.00
_cell_angle_gamma 90.00
_symmetry_space_group_name_H-M 'P 4/m m m'
_symmetry_Int_Tables_number 123
_symmetry_space_group_name_Hall '-P 4 2'
loop_
_atom_site_label
_atom_site_fract_x
_atom_site_fract_y
_atom_site_fract_z
Sn1 0.000 0.000 0.000
Te1 0.500 0.500 0.000
P1 0.500 0.500 0.500
I1 0.000 0.500 0.500
# - Energy relative to the elements, uncorrected: 1.65 eV per formula unit
# - D(E_F): 1.7 states/eV/f.u.



# SrTePI2 | Alexandria via LeMat-Bulk | meta-GGA SCAN | PBEsol geometry
data_SrTePI2
_chemical_formula_sum 'Sr1 Te1 P1 I2'
_cell_length_a 6.161
_cell_length_b 6.161
_cell_length_c 6.523
_cell_angle_alpha 90.00
_cell_angle_beta 90.00
_cell_angle_gamma 90.00
_symmetry_space_group_name_H-M 'P 4/m m m'
_symmetry_Int_Tables_number 123
_symmetry_space_group_name_Hall '-P 4 2'
loop_
_atom_site_label
_atom_site_fract_x
_atom_site_fract_y
_atom_site_fract_z
Sr1 0.000 0.000 0.000
Te1 0.000 0.000 0.500
P1 0.500 0.500 0.500
I1 0.000 0.500 0.000
# - Energy relative to the elements, uncorrected: 0.15 eV per formula unit
# - D(E_F): 1.8 states/eV/f.u.



# Sr2TePI | Alexandria via LeMat-Bulk | meta-GGA SCAN | PBEsol geometry
data_Sr2TePI
_chemical_formula_sum 'Sr2 Te1 P1 I1'
_cell_length_a 5.859
_cell_length_b 5.859
_cell_length_c 5.153
_cell_angle_alpha 90.00
_cell_angle_beta 90.00
_cell_angle_gamma 90.00
_symmetry_space_group_name_H-M 'P 4/m m m'
_symmetry_Int_Tables_number 123
_symmetry_space_group_name_Hall '-P 4 2'
loop_
_atom_site_label
_atom_site_fract_x
_atom_site_fract_y
_atom_site_fract_z
Sr1 0.000 0.500 0.000
Te1 0.000 0.000 0.500
P1 0.500 0.500 0.000
I1 0.500 0.500 0.500
# - Energy relative to the elements, uncorrected: -4.93 eV per formula unit
# - D(E_F): 0.5 states/eV/f.u.



# TaTePI2 | Alexandria via LeMat-Bulk | meta-GGA SCAN | PBEsol geometry
data_TaTePI2
_chemical_formula_sum 'Ta1 Te1 P1 I2'
_cell_length_a 5.208
_cell_length_b 5.208
_cell_length_c 5.162
_cell_angle_alpha 90.00
_cell_angle_beta 90.00
_cell_angle_gamma 90.00
_symmetry_space_group_name_H-M 'P 4/m m m'
_symmetry_Int_Tables_number 123
_symmetry_space_group_name_Hall '-P 4 2'
loop_
_atom_site_label
_atom_site_fract_x
_atom_site_fract_y
_atom_site_fract_z
Ta1 0.000 0.000 0.000
Te1 0.500 0.500 0.000
P1 0.500 0.500 0.500
I1 0.000 0.500 0.500
# - Energy relative to the elements, uncorrected: 6.46 eV per formula unit
# - D(E_F): 3.6 states/eV/f.u.



Copy entry 8 word for word.
# TaTePI2 | Alexandria via LeMat-Bulk | meta-GGA SCAN | PBEsol geometry
data_TaTePI2
_chemical_formula_sum 'Ta1 Te1 P1 I2'
_cell_length_a 5.208
_cell_length_b 5.208
_cell_length_c 5.162
_cell_angle_alpha 90.00
_cell_angle_beta 90.00
_cell_angle_gamma 90.00
_symmetry_space_group_name_H-M 'P 4/m m m'
_symmetry_Int_Tables_number 123
_symmetry_space_group_name_Hall '-P 4 2'
loop_
_atom_site_label
_atom_site_fract_x
_atom_site_fract_y
_atom_site_fract_z
Ta1 0.000 0.000 0.000
Te1 0.500 0.500 0.000
P1 0.500 0.500 0.500
I1 0.000 0.500 0.500
# - Energy relative to the elements, uncorrected: 6.46 eV per formula unit
# - D(E_F): 3.6 states/eV/f.u.



> Among the records above, which one has the lowest energy relative to the elements, uncorrected?

Sr2TePI